Entry 1:
Here is an optimized crystal structure of CaSb2Br from Alexandria. Energies are from PBE.

Cell and atoms, written as CIF:
```
data_CaSb2Br
_space_group_name_H-M_alt 'C 1 m 1'
_space_group_IT_number 8
_space_group_name_Hall 'C -2y'
_cell_length_a 9.8375
_cell_length_b 4.1131
_cell_length_c 7.6165
_cell_angle_alpha 90.00
_cell_angle_beta 120.91
_cell_angle_gamma 90.00
loop_
_atom_site_label
_atom_site_type_symbol
_atom_site_fract_x
_atom_site_fract_y
_atom_site_fract_z
Ca1 Ca 0.0000 0.0000 0.0000
Sb1 Sb 0.2256 0.5000 0.4670
Sb2 Sb 0.4629 0.0000 0.6263
Br1 Br 0.3031 0.0000 0.0245
```

Output
The value obtained for the formation energy (no corrections) is -0.78 eV/atom. Its total energy is -30.10 eV/cell. As for the spin magnetization: 0.000 μB/cell.


Entry 2:
Here is an optimized crystal structure of AlReNi2 from Alexandria. Energies are from PBE.

Cell and atoms, written as CIF:
```
data_AlReNi2
_space_group_name_H-M_alt 'P m m 2'
_space_group_IT_number 25
_space_group_name_Hall 'P 2 -2'
_cell_length_a 2.6936
_cell_length_b 3.3661
_cell_length_c 5.5489
_cell_angle_alpha 90.00
_cell_angle_beta 90.00
_cell_angle_gamma 90.00
loop_
_atom_site_label
_atom_site_type_symbol
_atom_site_fract_x
_atom_site_fract_y
_atom_site_fract_z
Al1 Al 0.0000 0.0000 0.0000
Re1 Re 0.5000 0.5000 0.7021
Ni1 Ni 0.0000 0.0000 0.4625
Ni2 Ni 0.5000 0.5000 0.2208
```

Output
For the energy of formation, the calculation gives -0.16 eV per atom. Its total energy is -28.41 eV/cell. As for the spin magnetization: 0.000 μB/cell.


Question: What is the spin magnetization in the second record?
Answer: 0.000 μB/cell